Record 1
Computed, not measured: an optimized crystal structure of La3YPu2Te6 at the GGA-PBE level of DFT.

Cell lengths 7.711, 7.711, 7.768 Å; angles 99.53, 99.53, 120.00 degrees
Fractional positions:
Te 0.078 0.412 0.234
Te 0.743 0.743 0.233
Pu 0.666 0.334 0.000
Pu 0.334 0.666 0.000
La 0.500 0.500 0.500
Te 0.922 0.588 0.766
La 0.165 0.835 0.500
Te 0.588 0.922 0.766
Te 0.257 0.257 0.767
Te 0.412 0.078 0.234
La 0.835 0.165 0.500
Y 0.000 0.000 0.000

Values from the calculation:
Its total energy is -80.35 eV/cell.

Record 2
Computed, not measured: an optimized crystal structure of La2PuZnTe5 at the GGA-PBE level of DFT.

Cell lengths 4.423, 9.949, 13.192 Å; angles 90.00, 90.00, 102.84 degrees
Fractional positions:
La 0.115 0.229 0.684
Te 0.688 0.375 0.843
Te 0.290 0.580 0.674
Zn 0.566 0.132 0.958
La 0.885 0.771 0.184
Te 0.044 0.087 0.067
La 0.125 0.251 0.308
Te 0.501 0.001 0.781
Te 0.312 0.625 0.343
Pu 0.200 0.401 0.009
Te 0.499 0.999 0.281
Te 0.362 0.724 0.000
Te 0.956 0.913 0.567
Zn 0.434 0.868 0.458
La 0.875 0.749 0.808
Pu 0.800 0.599 0.509
Te 0.710 0.420 0.174
Te 0.638 0.276 0.500

Values from the calculation:
Its total energy is -103.96 eV/cell.

Record 3
Computed, not measured: an optimized crystal structure of La2PuTh at the GGA-PBE level of DFT.

Cell lengths 3.744, 3.744, 9.860 Å; angles 79.06, 79.06, 60.00 degrees
Fractional positions:
La 0.055 0.055 0.835
Pu 0.665 0.665 0.005
Th 0.502 0.502 0.493
La 0.278 0.278 0.167

Values from the calculation:
The value obtained for the excess energy over the best structure of this formula in the dataset is 651.4 meV per atom. The value obtained for the formation energy from the elements is 0.7856 eV/atom. Its total energy is -28.46 eV/cell.

Record 4
Computed, not measured: an optimized crystal structure of LaPuTh2 at the GGA-PBE level of DFT.

Cell lengths 3.474, 3.474, 12.482 Å; angles 82.00, 82.00, 60.00 degrees
Fractional positions:
Th 0.091 0.091 0.728
Pu 0.500 0.500 0.500
Th 0.909 0.909 0.272
La 0.000 0.000 0.000

Values from the calculation:
The value obtained for the excess energy over the best structure of this formula in the dataset is 141.6 meV per atom. The value obtained for the formation energy from the elements is 0.2600 eV/atom. Its total energy is -33.06 eV/cell.

Record 5
Computed, not measured: an optimized crystal structure of La2PuTh at the GGA-PBE level of DFT.

Cell lengths 3.580, 3.580, 10.253 Å; angles 90.00, 90.00, 90.00 degrees
Fractional positions:
La 0.000 0.000 0.747
Th 0.500 0.500 0.500
La 0.000 0.000 0.253
Pu 0.500 0.500 0.000

Values from the calculation:
The value obtained for the excess energy over the best structure of this formula in the dataset is 0.0 meV per atom. The value obtained for the formation energy from the elements is 0.1342 eV/atom. Its total energy is -31.07 eV/cell.

Record 6
Computed, not measured: an optimized crystal structure of LaPuTh2 at the GGA-PBE level of DFT.

Cell lengths 3.562, 3.562, 9.795 Å; angles 90.00, 90.00, 90.00 degrees
Fractional positions:
Th 0.000 0.000 0.228
La 0.500 0.500 0.500
Pu 0.500 0.500 0.000
Th 0.000 0.000 0.772

Values from the calculation:
The value obtained for the excess energy over the best structure of this formula in the dataset is 0.0 meV per atom. The value obtained for the formation energy from the elements is 0.1183 eV/atom. Its total energy is -33.63 eV/cell.